Entry 1:
# Co6Ni3Rh

Crystalline Co6Ni3Rh at its relaxed geometry (PBE, the Alexandria database).

As for the space group: C2/m. The density of states at the Fermi level is 13.39 states/eV per cell. The calculation puts the formation energy at 1.83 eV per formula unit.

```
Co6Ni3Rh
1.0
4.138 -2.328 0.000
4.138 2.328 0.000
-2.773 0.000 6.108
Co Ni Rh
6 3 1
direct
0.057 0.567 0.194
0.151 0.151 0.437
0.433 0.943 0.806
0.567 0.057 0.194
0.849 0.849 0.563
0.943 0.433 0.806
0.432 0.432 0.801
0.500 0.500 0.500
0.568 0.568 0.199
0.000 0.000 0.000
```

Entry 2:
# LiLaSi2

Crystalline LiLaSi2 at its relaxed geometry (PBE, the Alexandria database).

As for the space group: F-43m. The density of states at the Fermi level is 2.22 states/eV per cell. For the uncorrected formation energy, the calculation gives -74 meV/atom.

```
LiLaSi2
1.0
0.000 3.405 3.405
3.405 0.000 3.405
3.405 3.405 0.000
Li La Si
1 1 2
direct
0.000 0.000 0.000
0.250 0.250 0.250
0.500 0.500 0.500
0.750 0.750 0.750
```

Entry 3:
# Tb2EuCo

Crystalline Tb2EuCo at its relaxed geometry (PBE, the Alexandria database).

As for the space group: R-3m. The density of states at the Fermi level is 4.31 states/eV per cell. The calculation puts the formation energy at 0.31 eV per formula unit.

```
Tb2EuCo
1.0
1.896 1.095 10.383
-1.896 1.095 10.383
0.000 -2.190 10.383
Tb Eu Co
2 1 1
direct
0.119 0.119 0.119
0.881 0.881 0.881
0.000 0.000 0.000
0.500 0.500 0.500
```

Entry 4:
# Nd8CoRh3Br4

Crystalline Nd8CoRh3Br4 at its relaxed geometry (PBE, the Alexandria database).

As for the space group: R-3m. The density of states at the Fermi level is 3.74 states/eV per cell. For the uncorrected formation energy, the calculation gives -987 meV/atom.

```
Nd8CoRh3Br4
1.0
4.093 2.363 7.834
-4.093 2.363 7.834
0.000 -4.726 7.834
Nd Co Rh Br
8 1 3 4
direct
0.232 0.232 0.232
0.241 0.727 0.727
0.273 0.273 0.759
0.273 0.759 0.273
0.727 0.241 0.727
0.727 0.727 0.241
0.759 0.273 0.273
0.768 0.768 0.768
0.500 0.500 0.500
0.000 0.000 0.500
0.000 0.500 0.000
0.500 0.000 0.000
0.000 0.000 0.000
0.000 0.500 0.500
0.500 0.000 0.500
0.500 0.500 0.000
```

Entry 5:
# CaHf

Crystalline CaHf at its relaxed geometry (PBE, the Alexandria database).

As for the space group: P4_2/mnm. The density of states at the Fermi level is 8.82 states/eV per cell. The calculation puts the formation energy at 2.17 eV per formula unit.

```
CaHf
1.0
6.209 0.000 0.000
0.000 6.209 0.000
0.000 0.000 6.375
Ca Hf
4 4
direct
0.176 0.176 0.000
0.324 0.676 0.500
0.676 0.324 0.500
0.824 0.824 0.000
0.157 0.157 0.500
0.343 0.657 0.000
0.657 0.343 0.000
0.843 0.843 0.500
```

Entry 6:
# Rb4Na2Au3

Crystalline Rb4Na2Au3 at its relaxed geometry (PBE, the Alexandria database).

As for the space group: C2/m. The density of states at the Fermi level is 3.79 states/eV per cell. The calculation puts the formation energy at -1.62 eV per formula unit.

```
Rb4Na2Au3
1.0
10.457 -2.149 0.000
10.457 2.149 0.000
-2.504 0.000 8.428
Rb Na Au
4 2 3
direct
0.056 0.056 0.361
0.230 0.230 0.742
0.770 0.770 0.258
0.944 0.944 0.639
0.096 0.096 0.968
0.904 0.904 0.032
0.410 0.410 0.277
0.500 0.500 0.000
0.590 0.590 0.723
```

Entry 7:
# AlTe2Cl

Crystalline AlTe2Cl at its relaxed geometry (PBE, the Alexandria database).

As for the space group: F-43m. The density of states at the Fermi level is 5.06 states/eV per cell. For the uncorrected formation energy, the calculation gives 136 meV/atom.

```
AlTe2Cl
1.0
0.000 3.697 3.697
3.697 0.000 3.697
3.697 3.697 0.000
Al Te Cl
1 2 1
direct
0.000 0.000 0.000
0.500 0.500 0.500
0.750 0.750 0.750
0.250 0.250 0.250
```

no.,magnetization (μB per formula unit)
1,13.6
2,0.0
3,7.9
4,0.0
5,0.0
6,0.0
7,0.0